Entry 1:
The following is a DFT calculation (GGA-PBE) of a relaxed Ho6TlCu2 crystal.

Cell lengths 8.496, 8.496, 8.496 Å; angles 113.18, 109.45, 105.87 degrees
Positions (direct):
Ho: 0.037 0.237 0.800
Ho: 0.185 0.285 0.470
Ho: 0.185 0.715 0.901
Ho: 0.322 0.017 0.695
Ho: 0.322 0.627 0.305
Ho: 0.437 0.237 0.200
Ho: 0.563 0.763 0.800
Ho: 0.678 0.373 0.695
Ho: 0.678 0.983 0.305
Ho: 0.815 0.285 0.099
Ho: 0.815 0.715 0.530
Ho: 0.963 0.763 0.200
Tl: 0.000 0.000 0.000
Tl: 0.500 0.500 0.000
Cu: 0.120 0.620 0.500
Cu: 0.351 0.000 0.351
Cu: 0.649 0.000 0.649
Cu: 0.880 0.380 0.500

Summary:
energy relative to the elements	-1.9	eV/f.u.

---

Entry 2:
The following is a DFT calculation (GGA-PBE) of a relaxed Ho4TlCu crystal.

Cell lengths 7.224, 7.391, 6.698 Å; angles 90.00, 95.37, 90.00 degrees
Positions (direct):
Ho: 0.144 0.167 0.174
Ho: 0.144 0.333 0.674
Ho: 0.326 0.645 0.092
Ho: 0.326 0.855 0.592
Ho: 0.674 0.145 0.408
Ho: 0.674 0.355 0.908
Ho: 0.856 0.667 0.326
Ho: 0.856 0.833 0.826
Tl: 0.500 0.000 0.000
Tl: 0.500 0.500 0.500
Cu: 0.000 0.000 0.500
Cu: 0.000 0.500 0.000

Summary:
E above lowest polymorph	105	kJ/mol of formula units
energy relative to the elements	0.0	eV/f.u.

---

Entry 3:
The following is a DFT calculation (GGA-PBE) of a relaxed HoTl2Cu crystal.

Cell lengths 4.682, 4.682, 4.249 Å; angles 90.00, 90.00, 90.00 degrees
Positions (direct):
Ho: 0.000 0.000 0.000
Tl: 0.000 0.500 0.500
Tl: 0.500 0.000 0.500
Cu: 0.500 0.500 0.000

Summary:
E above lowest polymorph	0	kJ/mol of formula units
energy relative to the elements	-0.3	eV/f.u.

---

Entry 4:
The following is a DFT calculation (GGA-PBE) of a relaxed HoTlCu crystal.

Cell lengths 4.627, 4.627, 3.595 Å; angles 90.00, 90.00, 120.00 degrees
Positions (direct):
Ho: 0.000 0.000 0.000
Tl: 0.333 0.667 0.500
Cu: 0.667 0.333 0.500

Summary:
energy relative to the elements	-0.6	eV/f.u.

---

| no. | calculated total energy (eV per atom) | total magnetization (Bohr magnetons per cell) |
| --- | --- | --- |
| 1 | -4.4311 | 0.0 |
| 2 | -4.1237 | 0.0 |
| 3 | -3.4147 | 0.0 |
| 4 | -3.8922 | 0.0 |